Record 1
TaNb2Ge | GGA-PBE | relaxed

## Properties
**Electronic total energy**: -9.3528 eV per atom

```
TaNb2Ge
1.0
3.578 0.000 0.000
0.000 4.405 0.000
0.000 0.000 4.405
Nb Ge Ta
2 1 1
Direct
0.000 0.000 0.500
0.000 0.500 0.000
0.500 0.500 0.500
0.500 0.000 0.000
```



Record 2
TaNb2Ge | GGA-PBE | relaxed

## Properties
**Electronic total energy**: -8.7237 eV per atom

```
TaNb2Ge
1.0
7.440 0.000 0.000
0.000 7.440 0.000
3.720 3.720 2.726
Nb Ge Ta
4 2 2
Direct
0.601 0.125 0.250
0.149 0.625 0.250
0.375 0.399 0.750
0.875 0.851 0.750
0.500 0.500 0.000
0.250 0.750 0.500
0.000 0.000 0.000
0.750 0.250 0.500
```



Record 3
Ta2NbGe | GGA-PBE | relaxed

## Properties
**Electronic total energy**: -9.1082 eV per atom

```
Ta2NbGe
1.0
-3.828 -0.294 6.500
1.451 -7.391 0.520
1.058 -3.306 4.858
Nb Ge Ta
2 2 4
Direct
0.000 0.000 0.000
0.750 0.250 0.500
0.500 0.500 0.000
0.250 0.750 0.500
0.592 0.125 0.250
0.158 0.625 0.250
0.375 0.408 0.750
0.875 0.842 0.750
```



Record 4
TaNb5Ge4 | GGA-PBE | relaxed

## Properties
**Electronic total energy**: -8.0151 eV per atom

```
TaNb5Ge4
1.0
-5.197 -0.976 1.147
2.325 -4.385 6.800
-0.292 6.887 4.541
Ta Nb Ge
2 10 8
Direct
0.003 0.000 0.000
0.997 0.500 0.500
0.249 0.713 0.778
0.249 0.287 0.778
0.485 0.500 0.000
0.249 0.713 0.222
0.249 0.287 0.222
0.751 0.787 0.278
0.751 0.213 0.278
0.515 0.000 0.500
0.751 0.213 0.722
0.751 0.787 0.722
0.103 0.000 0.673
0.529 0.847 0.000
0.529 0.153 0.000
0.103 0.000 0.327
0.897 0.500 0.173
0.471 0.653 0.500
0.471 0.347 0.500
0.897 0.500 0.827
```



Record 5
TaNb2Ge | GGA-PBE | relaxed

## Properties
**Electronic total energy**: -9.3941 eV per atom

```
TaNb2Ge
1.0
-0.051 -0.056 3.426
-3.414 -0.288 -0.056
0.503 -5.942 -0.089
Nb Ge Ta
2 1 1
Direct
0.000 0.000 0.765
0.000 0.000 0.235
0.500 0.500 0.000
0.500 0.500 0.500
```



Record 6
TaNbGe | GGA-PBE | relaxed

## Properties
**Electronic total energy**: -8.8325 eV per atom

```
TaNbGe
1.0
4.593 0.000 0.000
2.297 3.978 0.000
2.297 1.326 6.260
Ge Ta Nb
2 2 2
Direct
0.227 0.227 0.319
0.773 0.773 0.681
0.366 0.366 0.903
0.634 0.634 0.097
0.918 0.918 0.247
0.082 0.082 0.753
```



Record 7
Ta5Nb5Ge6 | GGA-PBE | relaxed

## Properties
**Electronic total energy**: -8.9481 eV per atom

```
Ta5Nb5Ge6
1.0
5.312 0.000 0.000
0.000 6.694 -3.936
0.000 -0.142 7.764
Ta Nb Ge
5 5 6
Direct
0.000 0.753 0.999
0.000 0.999 0.753
0.500 0.806 0.806
0.500 0.243 0.000
0.500 0.000 0.243
0.750 0.334 0.666
0.750 0.666 0.334
0.250 0.666 0.334
0.250 0.334 0.666
0.000 0.202 0.202
0.000 0.599 0.599
0.000 0.395 0.999
0.000 0.999 0.395
0.500 0.399 0.399
0.500 0.604 0.001
0.500 0.001 0.604
```



Record 8
TaNbGe | GGA-PBE | relaxed

## Properties
**Electronic total energy**: -9.1818 eV per atom

```
TaNbGe
1.0
4.965 0.031 -1.332
-2.869 4.053 -1.332
-0.037 -0.073 5.146
Ta Nb Ge
2 2 2
Direct
0.160 0.160 0.321
0.840 0.840 0.679
0.339 0.661 0.000
0.661 0.339 0.000
0.750 0.250 0.500
0.250 0.750 0.500
```



Number 1: formation enthalpy at 0 K -0.200 eV per atom. Number 2: formation enthalpy at 0 K 0.429 eV per atom. Number 3: formation enthalpy at 0 K 0.490 eV per atom. Number 4: formation enthalpy at 0 K 0.052 eV per atom. Number 5: formation enthalpy at 0 K -0.242 eV per atom. Number 6: formation enthalpy at 0 K 0.014 eV per atom. Number 7: formation enthalpy at 0 K -0.366 eV per atom. Number 8: formation enthalpy at 0 K -0.335 eV per atom.